DFT (PBE) results for a geometry-optimized NaLa3Al8 structure.

## Properties
The calculation puts the total DFT energy (no corrections) at -50.48 eV/cell. Its symmetry is No. 160. The calculation puts the energy of formation from the pure elements at -4.4 eV per formula unit.

Cell lengths 5.7205, 5.7205, 9.9294 Å; angles 73.26, 73.26, 60.00 degrees
Last column: nearest neighbours and their distance in Å.
Sites, in units of the cell vectors:
Na 0.8742 0.8742 0.3773  12 Al 3.35-3.38, 4 La 3.43-3.47
Al 0.9383 0.4354 0.6880  6 Al 2.84-2.88
La 0.9964 0.9964 0.0108  12 Al 3.29-3.44, 1 Na 3.43, 3 La 3.54
Al 0.6874 0.6874 0.9378  6 Al 2.85-2.87
Al 0.9393 0.4379 0.1850  6 Al 2.85-2.88
Al 0.9383 0.9383 0.6880  6 Al 2.84-2.88
La 0.5026 0.5026 0.4921  12 Al 3.32-3.40, 3 Na 3.47, 1 La 3.59
La 0.3748 0.3748 0.8756  12 Al 3.33-3.36, 4 La 3.54-3.59
Al 0.4379 0.4379 0.1850  6 Al 2.85-2.88
Al 0.4379 0.9393 0.1850  6 Al 2.85-2.88
Al 0.1875 0.1875 0.4374  6 Al 2.86-2.88
Al 0.4354 0.9383 0.6880  6 Al 2.84-2.88